No. 1
Compound: K2ScIn
Source: the Alexandria database
Functional: PBE-GGA
Structure: optimized geometry

As for the spin magnetization: 0.00 μB/f.u. The value obtained for the density of states at the Fermi level is 3.2 states/eV/cell. As for the volume: 33.78 Å³ per atom. The value obtained for the total energy is -9.9 eV/cell. The calculation puts the energy of formation from the pure elements at 337 meV per atom.

The structure belongs to space group P2/m (No. 10); the cell edges are 3.599, 6.614 and 5.685 Å and the angles 90.00°, 93.21° and 90.00°. The distinct sites, in fractional coordinates, are K at (0.248, 0.000, 0.260), Sc at (0.500, 0.500, 0.000) and In at (0.000, 0.500, 0.500).



No. 2
Compound: KSc2In
Source: the Alexandria database
Functional: PBE-GGA
Structure: optimized geometry

As for the spin magnetization: 0.78 μB/f.u. The value obtained for the density of states at the Fermi level is 5.1 states/eV/cell. As for the volume: 30.11 Å³ per atom. The value obtained for the total energy is -15.6 eV/cell. The calculation puts the energy of formation from the pure elements at 227 meV per atom.

The structure belongs to space group P2/m (No. 10); the cell edges are 3.322, 5.094 and 7.284 Å and the angles 90.00°, 102.22° and 90.00°. The distinct sites, in fractional coordinates, are K at (0.000, 0.000, 0.000), Sc at (0.288, 0.500, 0.683) and In at (0.500, 0.000, 0.500).



No. 3
Compound: K2ScIn
Source: the Alexandria database
Functional: PBE-GGA
Structure: optimized geometry

As for the spin magnetization: 0.00 μB/f.u. The value obtained for the density of states at the Fermi level is 6.1 states/eV/cell. As for the volume: 44.16 Å³ per atom. The value obtained for the total energy is -21.8 eV/cell. The calculation puts the energy of formation from the pure elements at 86 meV per atom.

The structure belongs to space group Immm (No. 71); the cell edges are 3.613, 4.736 and 20.650 Å and the angles 90.00°, 90.00° and 90.00°. The distinct sites, in fractional coordinates, are K at (0.000, 0.000, 0.156), Sc at (0.000, 0.500, 0.000) and In at (0.000, 0.500, 0.500).



No. 4
Compound: K3ScIn
Source: the Alexandria database
Functional: PBE-GGA
Structure: optimized geometry

As for the spin magnetization: 0.28 μB/f.u. Its excess energy over the best structure of this formula in the dataset is 0.0000 eV/atom. The value obtained for the density of states at the Fermi level is 11.0 states/eV/cell. As for the volume: 58.34 Å³ per atom. The value obtained for the total energy is -8.7 eV/cell. The calculation puts the energy of formation from the pure elements at 737 meV per atom.

The structure belongs to space group Pm-3m (No. 221); the cell edges are 6.632, 6.632 and 6.632 Å and the angles 90.00°, 90.00° and 90.00°. The distinct sites, in fractional coordinates, are K at (0.000, 0.000, 0.500), Sc at (0.500, 0.500, 0.500) and In at (0.000, 0.000, 0.000).



No. 5
Compound: K2ScIn
Source: the Alexandria database
Functional: PBE-GGA
Structure: optimized geometry

As for the spin magnetization: 0.80 μB/f.u. The value obtained for the density of states at the Fermi level is 10.3 states/eV/cell. As for the volume: 36.31 Å³ per atom. The value obtained for the total energy is -19.3 eV/cell. The calculation puts the energy of formation from the pure elements at 408 meV per atom.

The structure belongs to space group Cmmm (No. 65); the cell edges are 3.965, 5.617 and 13.045 Å and the angles 90.00°, 90.00° and 90.00°. The distinct sites, in fractional coordinates, are K at (0.000, 0.000, 0.239), Sc at (0.000, 0.500, 0.500) and In at (0.000, 0.500, 0.000).



No. 6
Compound: K2ScIn
Source: the Alexandria database
Functional: PBE-GGA
Structure: optimized geometry

As for the spin magnetization: 1.09 μB/f.u. The value obtained for the density of states at the Fermi level is 4.6 states/eV/cell. As for the volume: 36.20 Å³ per atom. The value obtained for the total energy is -9.7 eV/cell. The calculation puts the energy of formation from the pure elements at 391 meV per atom.

The structure belongs to space group Pmmm (No. 47); the cell edges are 3.493, 6.234 and 6.650 Å and the angles 90.00°, 90.00° and 90.00°. The distinct sites, in fractional coordinates, are K at (0.000, 0.000, 0.241), Sc at (0.500, 0.500, 0.500) and In at (0.500, 0.500, 0.000).



No. 7
Compound: KSc2In
Source: the Alexandria database
Functional: PBE-GGA
Structure: optimized geometry

As for the spin magnetization: 0.49 μB/f.u. The value obtained for the density of states at the Fermi level is 4.4 states/eV/cell. As for the volume: 29.98 Å³ per atom. The value obtained for the total energy is -16.0 eV/cell. The calculation puts the energy of formation from the pure elements at 120 meV per atom.

The structure belongs to space group P4/mmm (No. 123); the cell edges are 3.305, 3.305 and 10.976 Å and the angles 90.00°, 90.00° and 90.00°. The distinct sites, in fractional coordinates, are K at (0.000, 0.000, 0.000), Sc at (0.500, 0.500, 0.314) and In at (0.000, 0.000, 0.500).



No. 8
Compound: KSc3In
Source: the Alexandria database
Functional: PBE-GGA
Structure: optimized geometry

As for the spin magnetization: 0.00 μB/f.u. Its excess energy over the best structure of this formula in the dataset is 0.6817 eV/atom. The value obtained for the density of states at the Fermi level is 4.4 states/eV/cell. As for the volume: 25.16 Å³ per atom. The value obtained for the total energy is -16.8 eV/cell. The calculation puts the energy of formation from the pure elements at 1214 meV per atom.

The structure belongs to space group Pm-3m (No. 221); the cell edges are 5.011, 5.011 and 5.011 Å and the angles 90.00°, 90.00° and 90.00°. The distinct sites, in fractional coordinates, are K at (0.000, 0.000, 0.000), Sc at (0.000, 0.000, 0.500) and In at (0.500, 0.500, 0.500).



No. 9
Compound: KSc2In
Source: the Alexandria database
Functional: PBE-GGA
Structure: optimized geometry

As for the spin magnetization: 0.00 μB/f.u. The value obtained for the density of states at the Fermi level is 3.1 states/eV/cell. As for the volume: 27.22 Å³ per atom. The value obtained for the total energy is -15.3 eV/cell. The calculation puts the energy of formation from the pure elements at 312 meV per atom.

The structure belongs to space group P4/mmm (No. 123); the cell edges are 4.877, 4.877 and 4.579 Å and the angles 90.00°, 90.00° and 90.00°. The distinct sites, in fractional coordinates, are K at (0.000, 0.000, 0.000), Sc at (0.000, 0.500, 0.500) and In at (0.500, 0.500, 0.000).



No. 10
Compound: KSc2In
Source: the Alexandria database
Functional: PBE-GGA
Structure: optimized geometry

As for the spin magnetization: 0.00 μB/f.u. The value obtained for the density of states at the Fermi level is 11.4 states/eV/cell. As for the volume: 28.22 Å³ per atom. The value obtained for the total energy is -30.5 eV/cell. The calculation puts the energy of formation from the pure elements at 308 meV per atom.

The structure belongs to space group Imm2 (No. 44); the cell edges are 3.529, 5.545 and 11.537 Å and the angles 90.00°, 90.00° and 90.00°. The distinct sites, in fractional coordinates, are K at (0.000, 0.000, 0.000), Sc at (0.000, 0.000, 0.532), Sc at (0.000, 0.500, 0.788) and In at (0.000, 0.500, 0.246).



No. 11
Compound: KSc2In
Source: the Alexandria database
Functional: PBE-GGA
Structure: optimized geometry

As for the spin magnetization: 1.27 μB/f.u. The value obtained for the density of states at the Fermi level is 13.4 states/eV/cell. As for the volume: 29.73 Å³ per atom. The value obtained for the total energy is -47.0 eV/cell. The calculation puts the energy of formation from the pure elements at 207 meV per atom.

The structure belongs to space group R-3m (No. 166, hexagonal axes); the cell edges are 3.4147, 3.4147 and 35.3276 Å and the angles 90.00°, 90.00° and 120.00°. The distinct sites, in fractional coordinates, are K at (0.0000, 0.0000, 0.0000), Sc at (0.0000, 0.0000, 0.0994) and In at (0.0000, 0.0000, 0.5000).



No. 12
Compound: K2ScIn
Source: the Alexandria database
Functional: PBE-GGA
Structure: optimized geometry

As for the spin magnetization: 1.24 μB/f.u. The value obtained for the density of states at the Fermi level is 13.1 states/eV/cell. As for the volume: 36.48 Å³ per atom. The value obtained for the total energy is -29.0 eV/cell. The calculation puts the energy of formation from the pure elements at 396 meV per atom.

The structure belongs to space group R-3m (No. 166, hexagonal axes); the cell edges are 3.5969, 3.5969 and 39.0685 Å and the angles 90.00°, 90.00° and 120.00°. The distinct sites, in fractional coordinates, are K at (0.0000, 0.0000, 0.2452), Sc at (0.0000, 0.0000, 0.0000) and In at (0.0000, 0.0000, 0.5000).



Question: What is the formula in the fifth record?
Answer: K2ScIn